VASP calculation (GGA-PBE) on a relaxed structure of MnCr2NiTe.

Unit cell a=4.6374 b=4.5568 c=4.6374 alpha=90.00 beta=90.00 gamma=90.00
Atoms (fractional coordinates):
Ni 0.5000 0.5000 0.5000
Te 0.0000 0.0000 0.0000
Mn 0.0000 0.5000 0.0000
Cr 0.0000 0.0000 0.5000
Cr 0.5000 0.0000 0.0000

Calculated values
For the formation energy from raw total energies, the calculation gives 47.77 kcal/mol of atoms. For the total magnetization, the calculation gives 0.71 μB/cell.

VASP calculation (GGA-PBE) on a relaxed structure of Rb2CaSiRu.

Unit cell a=6.9359 b=4.7482 c=6.9359 alpha=90.00 beta=90.00 gamma=90.00
Atoms (fractional coordinates):
Ru 0.0000 0.5000 0.0000
Ca 0.0000 0.0000 0.0000
Si 0.5000 0.5000 0.5000
Rb 0.0000 0.0000 0.5000
Rb 0.5000 0.0000 0.0000

Calculated values
For the formation energy from raw total energies, the calculation gives 32.11 kcal/mol of atoms. For the total magnetization, the calculation gives 0.82 μB/cell.

VASP calculation (GGA-PBE) on a relaxed structure of Na2PuInBr8.

Unit cell a=6.9815 b=6.7578 c=8.6478 alpha=89.99 beta=90.01 gamma=94.75
Atoms (fractional coordinates):
Na 0.5000 0.5000 0.7553
Na 0.5000 0.5000 0.2447
Pu 0.0000 0.0000 0.5000
In 0.0000 0.0000 0.0000
Br 0.1484 0.7808 0.2382
Br 0.6797 0.7574 0.0000
Br 0.8516 0.2191 0.2383
Br 0.8516 0.2192 0.7618
Br 0.3203 0.2426 0.0000
Br 0.1484 0.7809 0.7617
Br 0.6643 0.7381 0.5000
Br 0.3357 0.2619 0.5000

Calculated values
For the formation energy from raw total energies, the calculation gives -29.07 kcal/mol of atoms. For the total magnetization, the calculation gives 5.00 μB/cell.

VASP calculation (GGA-PBE) on a relaxed structure of Cs2H3F.

Unit cell a=5.9501 b=5.9501 c=8.4717 alpha=110.59 beta=110.59 gamma=89.99
Atoms (fractional coordinates):
Cs 0.0975 0.3494 0.1981
Cs 0.6506 0.9025 0.3019
Cs 0.9025 0.6506 0.8019
Cs 0.3494 0.0975 0.6981
H 0.6951 0.4476 0.3914
H 0.5524 0.3049 0.1086
H 0.3049 0.5524 0.6086
H 0.4476 0.6951 0.8914
H 0.6237 0.3763 0.2500
H 0.3763 0.6237 0.7500
F 0.1247 0.8753 0.2500
F 0.8753 0.1247 0.7500

Calculated values
For the total magnetization, the calculation gives 0.00 μB/cell.

VASP calculation (GGA-PBE) on a relaxed structure of K3Y2PuTe6.

Unit cell a=7.8525 b=7.8525 c=8.6203 alpha=98.73 beta=98.73 gamma=120.00
Atoms (fractional coordinates):
K 0.1657 0.8343 0.5000
K 0.8343 0.1657 0.5000
K 0.5000 0.5000 0.5000
Y 0.3333 0.6667 0.0000
Y 0.6667 0.3333 0.0000
Pu 0.0000 0.0000 0.0000
Te 0.9303 0.5931 0.7910
Te 0.7323 0.7323 0.2089
Te 0.0697 0.4069 0.2090
Te 0.5931 0.9303 0.7910
Te 0.2677 0.2677 0.7911
Te 0.4069 0.0697 0.2090

Calculated values
For the formation energy from raw total energies, the calculation gives -30.01 kcal/mol of atoms. For the total magnetization, the calculation gives 5.00 μB/cell.

VASP calculation (GGA-PBE) on a relaxed structure of ReTcS2.

Unit cell a=4.2121 b=4.2121 c=4.2121 alpha=60.00 beta=60.00 gamma=60.00
Atoms (fractional coordinates):
Re 0.5000 0.5000 0.5000
S 0.2500 0.2500 0.2500
S 0.7500 0.7500 0.7500
Tc 0.0000 0.0000 0.0000

Calculated values
For the formation energy from raw total energies, the calculation gives 5.21 kcal/mol of atoms. For the total magnetization, the calculation gives 0.00 μB/cell.

VASP calculation (GGA-PBE) on a relaxed structure of Ba4Na2Sr2Rh.

Unit cell a=7.3407 b=8.4739 c=8.4739 alpha=61.93 beta=84.36 gamma=84.36
Atoms (fractional coordinates):
Ba 0.3031 0.6547 0.1457
Ba 0.6969 0.8543 0.3453
Ba 0.6969 0.3453 0.8543
Ba 0.3031 0.1457 0.6547
Na 0.2095 0.6488 0.6488
Na 0.7905 0.3512 0.3512
Sr 0.1966 0.1501 0.1501
Sr 0.8034 0.8499 0.8499
Rh 0.5000 0.0000 0.0000

Calculated values
For the total magnetization, the calculation gives 0.00 μB/cell.

VASP calculation (GGA-PBE) on a relaxed structure of ReMoW2.

Unit cell a=4.4560 b=2.7435 c=5.2461 alpha=80.01 beta=90.00 gamma=90.00
Atoms (fractional coordinates):
Re 0.5000 0.7500 0.7500
Mo 0.5000 0.2500 0.2500
W 0.0000 0.0030 0.9997
W 0.0000 0.4970 0.5003

Calculated values
For the total magnetization, the calculation gives 0.00 μB/cell.

VASP calculation (GGA-PBE) on a relaxed structure of TaMnCd.

Unit cell a=6.9948 b=6.8957 c=2.8360 alpha=80.19 beta=76.27 gamma=23.55
Atoms (fractional coordinates):
Cd 0.9948 0.9948 0.0052
Mn 0.3267 0.3267 0.6733
Ta 0.6786 0.6786 0.3214

Calculated values
For the total magnetization, the calculation gives 3.26 μB/cell.

VASP calculation (GGA-PBE) on a relaxed structure of Sr3NpTe4.

Unit cell a=6.5523 b=9.7056 c=11.2860 alpha=90.00 beta=90.00 gamma=90.00
Atoms (fractional coordinates):
Sr 0.5646 0.8390 0.0000
Sr 0.0643 0.6683 0.2483
Sr 0.5643 0.3317 0.2517
Sr 0.0646 0.1610 0.5000
Sr 0.5643 0.3317 0.7483
Sr 0.0643 0.6683 0.7517
Np 0.0645 0.1708 0.0000
Np 0.5645 0.8292 0.5000
Te 0.0643 0.8467 0.0000
Te 0.5643 0.1727 0.0000
Te 0.0644 0.3282 0.2444
Te 0.5644 0.6718 0.2556
Te 0.0643 0.8273 0.5000
Te 0.5643 0.1533 0.5000
Te 0.5644 0.6718 0.7444
Te 0.0644 0.3282 0.7556

Calculated values
For the formation energy from raw total energies, the calculation gives -28.06 kcal/mol of atoms. For the total magnetization, the calculation gives 9.92 μB/cell.

VASP calculation (GGA-PBE) on a relaxed structure of Mg2Al2Bi.

Unit cell a=8.2493 b=8.2493 c=3.3072 alpha=90.00 beta=90.00 gamma=90.00
Atoms (fractional coordinates):
Mg 0.1819 0.6819 0.5000
Mg 0.6819 0.8181 0.5000
Mg 0.8181 0.3181 0.5000
Mg 0.3181 0.1819 0.5000
Bi 0.0000 0.0000 0.0000
Bi 0.5000 0.5000 0.0000
Al 0.3857 0.8857 0.0000
Al 0.8857 0.6143 0.0000
Al 0.6143 0.1143 0.0000
Al 0.1143 0.3857 0.0000

Calculated values
For the total magnetization, the calculation gives 0.00 μB/cell.

VASP calculation (GGA-PBE) on a relaxed structure of Pm3MgB2N6.

Unit cell a=5.4597 b=5.4597 c=6.1199 alpha=90.00 beta=90.00 gamma=120.00
Atoms (fractional coordinates):
Pm 0.3333 0.6667 0.6566
Pm 0.6667 0.3333 0.3434
Pm 0.0000 0.0000 0.0000
Mg 0.0000 0.0000 0.5000
B 0.6667 0.3333 0.7509
B 0.3333 0.6667 0.2491
N 0.6370 0.8185 0.2819
N 0.1815 0.3630 0.2819
N 0.1815 0.8185 0.2819
N 0.8185 0.6370 0.7181
N 0.3630 0.1815 0.7181
N 0.8185 0.1815 0.7181

Calculated values
For the formation energy from raw total energies, the calculation gives -23.89 kcal/mol of atoms. For the total magnetization, the calculation gives 0.00 μB/cell.

| no. | Fermi-level density of states (states/eV/cell) | E (eV for the cell shown) |
| --- | --- | --- |
| 1 | 15.72 | -26.98 |
| 2 | 4.04 | -11.67 |
| 3 | 10.72 | -48.22 |
| 4 | 0.00 | -38.14 |
| 5 | 14.06 | -65.02 |
| 6 | 3.17 | -30.17 |
| 7 | 7.65 | -22.01 |
| 8 | 2.80 | -49.04 |
| 9 | 1.69 | -21.21 |
| 10 | 25.19 | -80.57 |
| 11 | 3.96 | -28.49 |
| 12 | 4.25 | -91.58 |